# Ac2GaHg5, relaxed, DFT PBE
# Spin magnetization: 0.000 μB per atom
# Calculated formation energy: -0.36 eV per atom
data_Ac2GaHg5
_chemical_formula_sum 'Ac4 Ga2 Hg10'
_cell_length_a 9.608
_cell_length_b 9.796
_cell_length_c 6.797
_cell_angle_alpha 90.00
_cell_angle_beta 134.96
_cell_angle_gamma 90.00
_space_group_name_H-M_alt 'C 1 2 1'
_space_group_IT_number 5
loop_
_space_group_symop_operation_xyz
'x,y,z'
'-x,y,-z'
'x+1/2,y+1/2,z'
'-x+1/2,y+1/2,-z'
loop_
_atom_site_label
_atom_site_fract_x
_atom_site_fract_y
_atom_site_fract_z
Ac1 0.000 0.000 0.000
Ac2 0.000 0.442 0.000
Ga1 0.000 0.971 0.500
Hg1 0.000 0.471 0.500
Hg2 0.159 0.731 0.870
Hg3 0.210 0.212 0.551